! GGA-PBE TiFePt, relaxed; values from VASP
&SYSTEM
  ibrav = 0, nat = 12, ntyp = 3
/
ATOMIC_SPECIES
Ti 47.87 Ti.upf
Fe 55.84 Fe.upf
Pt 195.08 Pt.upf
ATOMIC_POSITIONS angstrom
Ti 2.185 0.000 0.590
Ti 2.227 0.000 5.000
Ti 14.796 0.000 2.713
Ti 14.838 0.000 7.123
Fe 3.716 0.000 2.887
Fe 3.983 0.000 6.761
Fe 13.039 0.000 0.951
Fe 13.306 0.000 4.826
Pt 0.158 0.000 6.326
Pt 6.940 0.000 4.894
Pt 10.083 0.000 2.819
Pt 16.864 0.000 1.386
CELL_PARAMETERS angstrom
8.741 -1.371 0.000
8.741 1.371 0.000
-0.461 0.000 7.713
! V ... 15.40 Å³/atom
! D(E_F) ... 0.917 states/eV per atom
! Total magnetic moment ... 7.00 μB/cell
! ΔH_f (0 K) ... -213 meV per atom